Computed, not measured: a relaxed LiV2CdO6 crystal at the GGA+U level of DFT.

- Theoretical density: 3.8 Mg/m³
- N(E_F): 3.51 states/eV/cell
- Uncorrected energy: -6.52 eV per atom

a b c (Å): 5.861 7.129 7.129
angles (deg): 88.81 74.68 74.68
Fractional coordinates of all 20 atoms:
Li (0.250, 0.211, 0.789)
Li (0.750, 0.789, 0.211)
V (0.284, 0.772, 0.599)
V (0.216, 0.401, 0.228)
V (0.716, 0.228, 0.401)
V (0.784, 0.599, 0.772)
Cd (0.250, 0.898, 0.102)
Cd (0.750, 0.102, 0.898)
O (0.164, 0.955, 0.792)
O (0.336, 0.208, 0.045)
O (0.836, 0.045, 0.208)
O (0.664, 0.792, 0.955)
O (0.397, 0.859, 0.378)
O (0.103, 0.622, 0.141)
O (0.603, 0.141, 0.622)
O (0.897, 0.378, 0.859)
O (0.031, 0.671, 0.594)
O (0.469, 0.406, 0.329)
O (0.969, 0.329, 0.406)
O (0.531, 0.594, 0.671)